Density functional theory data (GGA-PBE) for crystalline NdSmBiN at its relaxed geometry.

Summary:
Energy relative to the elements, uncorrected   -1198 meV/atom
Total DFT energy (no corrections)   -53.0 eV/cell

CIF file:
```
data_NdSmBiN
_symmetry_space_group_name_H-M 'P 1'
_symmetry_Int_Tables_number 1
_symmetry_space_group_name_Hall 'P 1'
_cell_length_a 4.6987
_cell_length_b 4.6987
_cell_length_c 9.3744
_cell_angle_alpha 90.00
_cell_angle_beta 90.00
_cell_angle_gamma 90.00
loop_
_atom_site_label
_atom_site_type_symbol
_atom_site_fract_x
_atom_site_fract_y
_atom_site_fract_z
Nd1 Nd 0.2500 0.2500 0.1782
Nd2 Nd 0.7500 0.7500 0.8218
Sm1 Sm 0.2500 0.7500 0.5000
Sm2 Sm 0.7500 0.2500 0.5000
Bi1 Bi 0.2500 0.2500 0.8064
Bi2 Bi 0.7500 0.7500 0.1936
N1 N 0.2500 0.2500 0.4230
N2 N 0.7500 0.7500 0.5770
```